Entry 1:
Here is a relaxed structure of SmHo3Pu2Se6 from Alexandria. Energies are from PBE.

* SG: C2/m
* formation energy (no corrections): -1.702 eV per atom
* total energy: -88.444 eV/cell

abc: 7.084 7.084 7.155
angles: 99.50 99.50 120.06
Each line ends with the local moment (μB).
Element x y z (fractional)
Sm: 0.000 0.000 0.000  0.06
Ho: 0.166 0.834 0.500  0.02
Ho: 0.834 0.166 0.500  0.02
Ho: 0.500 0.500 0.500  0.01
Pu: 0.333 0.667 0.000  5.49
Pu: 0.667 0.333 0.000  5.49
Se: 0.914 0.578 0.742  -0.03
Se: 0.750 0.750 0.258  -0.02
Se: 0.086 0.422 0.258  -0.03
Se: 0.578 0.914 0.742  -0.03
Se: 0.250 0.250 0.742  -0.02
Se: 0.422 0.086 0.258  -0.03

***

Entry 2:
Here is a relaxed structure of GaSnP2 from Alexandria. Energies are from PBE.

* SG: I-42d
* total energy: -35.988 eV/cell
* calculated formation energy: -0.036 eV per atom
* distance to the lowest polymorph of the same formula: 0.0 meV/atom

abc: 5.984 5.984 6.968
angles: 64.57 64.57 90.00
Element x y z (fractional)
P: 0.587 0.125 0.250
P: 0.163 0.625 0.250
P: 0.375 0.413 0.750
P: 0.875 0.837 0.750
Sn: 0.000 0.000 0.000
Sn: 0.750 0.250 0.500
Ga: 0.500 0.500 0.000
Ga: 0.250 0.750 0.500

***

Entry 3:
Here is a relaxed structure of La5Ru3 from Alexandria. Energies are from PBE.

* SG: P6_3/mcm
* total energy: -108.770 eV/cell
* calculated formation energy: -0.240 eV per atom
* distance to the lowest polymorph of the same formula: 27.7 meV/atom

abc: 8.310 8.310 7.000
angles: 90.00 90.00 120.00
Element x y z (fractional)
La: 0.749 0.000 0.250
La: 0.251 0.000 0.750
La: 0.251 0.251 0.250
La: 0.000 0.251 0.750
La: 0.667 0.333 0.000
La: 0.667 0.333 0.500
La: 0.333 0.667 0.000
La: 0.333 0.667 0.500
La: 0.749 0.749 0.750
La: 0.000 0.749 0.250
Ru: 0.619 0.000 0.750
Ru: 0.381 0.000 0.250
Ru: 0.381 0.381 0.750
Ru: 0.000 0.381 0.250
Ru: 0.619 0.619 0.250
Ru: 0.000 0.619 0.750

***

Among the records above, which one has the lowest total energy?
La5Ru3